[1]
Density functional theory data (PBE-GGA) for a relaxed Pa2CoNi3 crystal.

Properties
Energy relative to the elements: -0.3063 eV/atom

a = 3.395 Å, b = 3.688 Å, c = 7.953 Å
α = 90.00°, β = 90.00°, γ = 90.00°
Space group Pmm2 (No. 25)
Inequivalent atoms, fractional coordinates:
Pa1 0.000 0.000 0.000 (multiplicity 1)
Pa2 0.000 0.500 0.487 (multiplicity 1)
Co1 0.500 0.000 0.354 (multiplicity 1)
Ni1 0.500 0.000 0.657 (multiplicity 1)
Ni2 0.500 0.500 0.155 (multiplicity 1)
Ni3 0.500 0.500 0.850 (multiplicity 1)



[2]
Density functional theory data (PBE-GGA) for a relaxed Pa3CoNi2 crystal.

Properties
Energy relative to the elements: -0.3147 eV/atom

a = 12.308 Å, b = 4.245 Å, c = 8.282 Å
α = 90.00°, β = 90.00°, γ = 90.00°
Space group Pnma (No. 62)
Inequivalent atoms, fractional coordinates:
Pa1 0.057 0.250 0.087 (multiplicity 4)
Pa2 0.114 0.750 0.596 (multiplicity 4)
Pa3 0.240 0.250 0.774 (multiplicity 4)
Co1 0.120 0.250 0.389 (multiplicity 4)
Ni1 0.008 0.750 0.298 (multiplicity 4)
Ni2 0.185 0.750 0.975 (multiplicity 4)



[3]
Density functional theory data (PBE-GGA) for a relaxed PaCoNi crystal.

Properties
Energy relative to the elements: -0.3368 eV/atom
Relative energy among the computed polymorphs: 0.25 eV per formula unit

a = 3.607 Å, b = 13.850 Å, c = 3.739 Å
α = 90.00°, β = 90.00°, γ = 90.00°
Space group Cmcm (No. 63)
Inequivalent atoms, fractional coordinates:
Pa1 0.000 0.097 0.250 (multiplicity 4)
Co1 0.000 0.384 0.250 (multiplicity 4)
Ni1 0.000 0.250 0.750 (multiplicity 4)



[4]
Density functional theory data (PBE-GGA) for a relaxed PaCoNi4 crystal.

Properties
Energy relative to the elements: -0.2409 eV/atom

a = 6.941 Å, b = 3.822 Å, c = 6.067 Å
α = 90.00°, β = 90.00°, γ = 90.00°
Space group Pmma (No. 51)
Inequivalent atoms, fractional coordinates:
Pa1 0.250 0.000 0.133 (multiplicity 2)
Co1 0.250 0.000 0.764 (multiplicity 2)
Ni1 0.000 0.000 0.500 (multiplicity 2)
Ni2 0.038 0.500 0.791 (multiplicity 4)
Ni3 0.250 0.500 0.467 (multiplicity 2)



[5]
Density functional theory data (PBE-GGA) for a relaxed Pa4Co2Ni crystal.

Properties
Energy relative to the elements: -0.2507 eV/atom

a = 8.054 Å, b = 11.551 Å, c = 6.772 Å
α = 90.00°, β = 118.84°, γ = 90.00°
Space group Cc (No. 9)
Inequivalent atoms, fractional coordinates:
Pa1 0.000 0.009 0.000 (multiplicity 4)
Pa2 0.193 0.305 0.645 (multiplicity 4)
Pa3 0.369 0.237 0.252 (multiplicity 4)
Pa4 0.479 0.073 0.653 (multiplicity 4)
Co1 0.061 0.178 0.269 (multiplicity 4)
Co2 0.198 0.427 0.994 (multiplicity 4)
Ni1 0.263 0.107 0.881 (multiplicity 4)



[6]
Density functional theory data (PBE-GGA) for a relaxed Pa3Co5Ni crystal.

Properties
Energy relative to the elements: -0.3172 eV/atom
Relative energy among the computed polymorphs: 0.00 eV per formula unit

a = 6.7021 Å, b = 6.7021 Å, c = 3.5973 Å
α = 90.00°, β = 90.00°, γ = 120.00°
Space group P-62m (No. 189)
Inequivalent atoms, fractional coordinates:
Pa1 0.0000 0.6101 0.0000 (multiplicity 3)
Co1 0.0000 0.2358 0.5000 (multiplicity 3)
Co2 0.3333 0.6667 0.5000 (multiplicity 2)
Ni1 0.0000 0.0000 0.0000 (multiplicity 1)



Q: What is the formula in the third record?
A: PaCoNi



Q: Among the records above, which one has the lowest energy relative to the elements?
A: PaCoNi



Q: What is the energy relative to the elements in the sixth record?
A: -0.3172 eV/atom



Q: What is the energy relative to the elements in the fifth record?
A: -0.2507 eV/atom